Entry from the Alexandria database: a relaxed structure of NbVPd2 (PBE).

**Offset from the most stable computed form**: 0.373 eV/atom
**Calculated formation energy**: 131 meV/atom

Unit cell a=9.709 b=9.709 c=9.709 alpha=16.56 beta=16.56 gamma=16.56
Element x y z (fractional)
Nb  0.000  0.000  0.000
V  0.500  0.500  0.500
Pd  0.093  0.093  0.093
Pd  0.907  0.907  0.907